No. 1
The following is a DFT calculation (PBE-GGA) of a relaxed structure of TiNbInF2.

## Properties
- Formation energy from raw total energies: -0.16 eV per atom
- Energy: -0.1855 Ha/atom
- Crystal system: tetragonal

a = 4.0570 Å, b = 4.0570 Å, c = 6.5123 Å
α = 90.00°, β = 90.00°, γ = 90.00°
Closest atoms and distances in Å follow each position.
Space group P4/mmm (No. 123)
Inequivalent atoms, fractional coordinates:
Ti  0.0000  0.0000  0.0000 [1 per cell]  4 Nb 2.87
Nb  0.5000  0.5000  0.0000 [1 per cell]  4 Ti 2.87
In  0.0000  0.0000  0.5000 [1 per cell]  4 F 2.03
F  0.0000  0.5000  0.5000 [2 per cell]  2 In 2.03

No. 2
The following is a DFT calculation (PBE-GGA) of a relaxed structure of NbTlInF6.

## Properties
- Formation energy from raw total energies: -2.42 eV per atom
- Energy: -0.1968 Ha/atom
- Crystal system: trigonal

a = 6.8571 Å, b = 6.8571 Å, c = 8.7404 Å
α = 90.00°, β = 90.00°, γ = 120.00°
Closest atoms and distances in Å follow each position.
Space group P-31c (No. 163)
Inequivalent atoms, fractional coordinates:
Nb  0.3333  0.6667  0.2500 [2 per cell]  6 F 2.02
Tl  0.0000  0.0000  0.0000 [2 per cell]  6 F 2.84
In  0.3333  0.6667  0.7500 [2 per cell]  6 F 2.81
F  0.0817  0.4119  0.1323 [12 per cell]  1 Nb 2.02

No. 3
The following is a DFT calculation (PBE-GGA) of a relaxed structure of NbZnInF2.

## Properties
- Formation energy from raw total energies: -0.36 eV per atom
- Energy: -0.1442 Ha/atom
- Crystal system: tetragonal

a = 4.1420 Å, b = 4.1420 Å, c = 5.9222 Å
α = 90.00°, β = 90.00°, γ = 90.00°
Closest atoms and distances in Å follow each position.
Space group P4/mmm (No. 123)
Inequivalent atoms, fractional coordinates:
Nb  0.0000  0.0000  0.0000 [1 per cell]  4 Zn 2.93
Zn  0.5000  0.5000  0.0000 [1 per cell]  4 Nb 2.93, 2 In 2.96
In  0.5000  0.5000  0.5000 [1 per cell]  4 F 2.07
F  0.0000  0.5000  0.5000 [2 per cell]  2 In 2.07

No. 4
The following is a DFT calculation (PBE-GGA) of a relaxed structure of Nd4In2F.

## Properties
- Formation energy from raw total energies: -0.92 eV per atom
- Energy: -0.1724 Ha/atom
- Crystal system: tetragonal

a = 4.8331 Å, b = 4.8331 Å, c = 17.5295 Å
α = 90.00°, β = 90.00°, γ = 90.00°
Closest atoms and distances in Å follow each position.
Space group I4/mmm (No. 139)
Inequivalent atoms, fractional coordinates:
Nd  0.0000  0.0000  0.1826 [4 per cell]  1 F 3.20, 5 In 3.22-3.52
Nd  0.0000  0.5000  0.0000 [4 per cell]  2 F 2.42
In  0.0000  0.0000  0.3662 [4 per cell]  9 Nd 3.22-3.52
F  0.0000  0.0000  0.0000 [2 per cell]  4 Nd 2.42

No. 5
The following is a DFT calculation (PBE-GGA) of a relaxed structure of NdInF2.

## Properties
- Formation energy from raw total energies: -1.97 eV per atom
- Energy: -0.1757 Ha/atom
- Crystal system: trigonal

a = 3.9919 Å, b = 3.9919 Å, c = 22.8973 Å
α = 90.00°, β = 90.00°, γ = 120.00°
Closest atoms and distances in Å follow each position.
Space group R-3m (No. 166, hexagonal axes)
Inequivalent atoms, fractional coordinates:
Nd  0.0000  0.0000  0.0000 [3 per cell]  2 F 2.26
In  0.0000  0.0000  0.5000 [3 per cell]  6 F 2.78
F  0.0000  0.0000  0.0986 [6 per cell]  1 Nd 2.26